VASP calculation (PBE) on a geometry-optimized Ce12Sn6Ru structure.

a = 7.9171 Å, b = 7.9171 Å, c = 7.9171 Å
α = 89.38°, β = 89.38°, γ = 89.38°
With the nearest neighbours (Å) after each atom.
Atoms (fractional coordinates):
Ce1 0.7806 0.5011 0.4150  2 Ce 2.80
Ce2 0.4150 0.7806 0.5011  2 Ce 2.80
Ce3 0.5011 0.4150 0.7806  2 Ce 2.80
Ce4 0.2194 0.4989 0.5850  2 Ce 2.80
Ce5 0.5850 0.2194 0.4989  2 Ce 2.80
Ce6 0.4989 0.5850 0.2194  2 Ce 2.80
Ce7 0.0648 0.1460 0.3559  2 Ce 2.90, 1 Ru 3.11
Ce8 0.8540 0.6441 0.9352  2 Ce 2.90, 1 Ru 3.11
Ce9 0.6441 0.9352 0.8540  2 Ce 2.90, 1 Ru 3.11
Ce10 0.9352 0.8540 0.6441  2 Ce 2.90, 1 Ru 3.11
Ce11 0.1460 0.3559 0.0648  2 Ce 2.90, 1 Ru 3.11
Ce12 0.3559 0.0648 0.1460  2 Ce 2.90, 1 Ru 3.11
Sn1 0.7413 0.9019 0.2658  1 Ru 3.02, 2 Sn 3.11, 5 Ce 3.20-3.36
Sn2 0.7342 0.2587 0.0981  1 Ru 3.02, 2 Sn 3.11, 5 Ce 3.20-3.36
Sn3 0.0981 0.7342 0.2587  1 Ru 3.02, 2 Sn 3.11, 5 Ce 3.20-3.36
Sn4 0.2587 0.0981 0.7342  1 Ru 3.02, 2 Sn 3.11, 5 Ce 3.20-3.36
Sn5 0.2658 0.7413 0.9019  1 Ru 3.02, 2 Sn 3.11, 5 Ce 3.20-3.36
Sn6 0.9019 0.2658 0.7413  1 Ru 3.02, 2 Sn 3.11, 5 Ce 3.20-3.36
Ru1 0.0000 0.0000 0.0000  6 Sn 3.02, 6 Ce 3.11

Summary:
The total magnetization is 6.2 μB/f.u.

VASP calculation (PBE) on a geometry-optimized CeTcSnRu structure.

a = 4.7253 Å, b = 4.7253 Å, c = 4.7253 Å
α = 60.00°, β = 60.00°, γ = 60.00°
With the nearest neighbours (Å) after each atom.
Atoms (fractional coordinates):
Ru1 0.7500 0.7500 0.7500  4 Ce 2.89, 4 Sn 2.89
Sn1 0.5000 0.5000 0.5000  4 Tc 2.89, 4 Ru 2.89
Ce1 0.0000 0.0000 0.0000  4 Tc 2.89, 4 Ru 2.89
Tc1 0.2500 0.2500 0.2500  4 Ce 2.89, 4 Sn 2.89

Summary:
The total magnetization is 0.0 μB/f.u.

VASP calculation (PBE) on a geometry-optimized Ce2ZnSnRu structure.

a = 4.2018 Å, b = 7.5481 Å, c = 7.7594 Å
α = 106.37°, β = 90.00°, γ = 90.00°
With the nearest neighbours (Å) after each atom.
Atoms (fractional coordinates):
Ce1 0.7500 0.8855 0.6586  2 Ru 2.82
Ce2 0.7500 0.7153 0.0274  3 Ru 2.75-2.98
Ce3 0.2500 0.1145 0.3414  2 Ru 2.82
Ce4 0.2500 0.2848 0.9726  3 Ru 2.75-2.98
Zn1 0.2500 0.5564 0.6621  1 Ru 2.58, 2 Sn 2.74
Zn2 0.7500 0.4436 0.3379  1 Ru 2.58, 2 Sn 2.74
Sn1 0.2500 0.6761 0.3369  3 Zn 2.74-2.91
Sn2 0.7500 0.3239 0.6631  3 Zn 2.74-2.91
Ru1 0.2500 0.8747 0.8977  1 Zn 2.58, 4 Ce 2.75-2.82
Ru2 0.7500 0.1253 0.1023  1 Zn 2.58, 4 Ce 2.75-2.82

Summary:
The total magnetization is 0.9 μB/f.u.

VASP calculation (PBE) on a geometry-optimized SrCe3Ru structure.

a = 5.5339 Å, b = 5.5339 Å, c = 5.5339 Å
α = 90.00°, β = 90.00°, γ = 90.00°
With the nearest neighbours (Å) after each atom.
Atoms (fractional coordinates):
Ru1 0.0000 0.0000 0.0000  6 Ce 2.77
Ce1 0.0000 0.5000 0.0000  2 Ru 2.77
Ce2 0.0000 0.0000 0.5000  2 Ru 2.77
Ce3 0.5000 0.0000 0.0000  2 Ru 2.77
Sr1 0.5000 0.5000 0.5000  12 Ce 3.91

Summary:
The total magnetization is 3.4 μB/f.u.

VASP calculation (PBE) on a geometry-optimized SrCeRu4 structure.

a = 5.4150 Å, b = 5.4150 Å, c = 5.4150 Å
α = 60.00°, β = 60.00°, γ = 60.00°
With the nearest neighbours (Å) after each atom.
Atoms (fractional coordinates):
Ru1 0.6253 0.6253 0.1241  6 Ru 2.70-2.71
Ru2 0.6253 0.1241 0.6253  6 Ru 2.70-2.71
Ru3 0.6253 0.6253 0.6253  6 Ru 2.70-2.71
Ru4 0.1241 0.6253 0.6253  6 Ru 2.70-2.71
Ce1 0.0000 0.0000 0.0000  12 Ru 3.17, 4 Sr 3.32
Sr1 0.2500 0.2500 0.2500  12 Ru 3.18, 4 Ce 3.32

Summary:
The total magnetization is 0.0 μB/f.u.

VASP calculation (PBE) on a geometry-optimized CeTa4Ru5 structure.

a = 3.1338 Å, b = 3.1338 Å, c = 17.2690 Å
α = 90.00°, β = 90.00°, γ = 90.00°
With the nearest neighbours (Å) after each atom.
Atoms (fractional coordinates):
Ce1 0.0000 0.0000 0.0000  4 Ce 3.13, 8 Ru 3.14
Ta1 0.0000 0.0000 0.2123  8 Ru 2.64-2.81
Ta2 0.0000 0.0000 0.4050  8 Ru 2.74-2.76
Ta3 0.0000 0.0000 0.5950  8 Ru 2.74-2.76
Ta4 0.0000 0.0000 0.7877  8 Ru 2.64-2.81
Ru1 0.5000 0.5000 0.1287  4 Ta 2.64
Ru2 0.5000 0.5000 0.3121  8 Ta 2.74-2.81
Ru3 0.5000 0.5000 0.5000  8 Ta 2.76
Ru4 0.5000 0.5000 0.6879  8 Ta 2.74-2.81
Ru5 0.5000 0.5000 0.8713  4 Ta 2.64

Summary:
The total magnetization is 0.0 μB/f.u.

Number 1: energy of formation from the pure elements -0.322 eV per atom, V 496.17 Å³/cell, D(E_F) 2.503 states/eV per atom. Number 2: energy of formation from the pure elements -0.241 eV per atom, V 74.61 Å³/cell, D(E_F) 0.955 states/eV per atom. Number 3: energy of formation from the pure elements -0.442 eV per atom, V 236.12 Å³/cell, D(E_F) 1.624 states/eV per atom. Number 4: energy of formation from the pure elements 0.022 eV per atom, V 169.47 Å³/cell, D(E_F) 3.377 states/eV per atom. Number 5: energy of formation from the pure elements 0.040 eV per atom, V 112.27 Å³/cell, D(E_F) 1.529 states/eV per atom. Number 6: energy of formation from the pure elements -0.366 eV per atom, V 169.59 Å³/cell, D(E_F) 0.742 states/eV per atom.